# MnInSeN2

MnInSeN2 after structural relaxation (GGA-PBE, the Alexandria database).

Output
**Calculated total energy**: -5.850 eV per atom
**Volume**: 82.9 Å³ per cell
**Formation energy from raw total energies**: 0.56 eV per atom
**Relative energy among the computed polymorphs**: 0.000 eV/f.u.
**Theoretical density**: 5.54 Mg/m³

Geometry as CIF:
```
data_MnInSeN2
_cell_length_a 3.777
_cell_length_b 3.777
_cell_length_c 5.813
_cell_angle_alpha 90.00
_cell_angle_beta 90.00
_cell_angle_gamma 90.00
_space_group_name_H-M_alt 'P 1'
_space_group_IT_number 1
loop_
_space_group_symop_operation_xyz
'x,y,z'
loop_
_atom_site_label
_atom_site_type_symbol
_atom_site_fract_x
_atom_site_fract_y
_atom_site_fract_z
N1 N 0.000 0.500 0.000
N2 N 0.500 0.000 0.000
Mn1 Mn 0.000 0.000 0.000
Se1 Se 0.000 0.000 0.500
In1 In 0.500 0.500 0.500
```

***

# MnInSe2N

MnInSe2N after structural relaxation (GGA-PBE, the Alexandria database).

Output
**Calculated total energy**: -5.413 eV per atom
**Volume**: 92.1 Å³ per cell
**Formation energy from raw total energies**: 0.03 eV per atom
**Relative energy among the computed polymorphs**: 0.000 eV/f.u.
**Theoretical density**: 6.16 Mg/m³

Geometry as CIF:
```
data_MnInSe2N
_cell_length_a 5.110
_cell_length_b 5.110
_cell_length_c 3.527
_cell_angle_alpha 90.00
_cell_angle_beta 90.00
_cell_angle_gamma 90.00
_space_group_name_H-M_alt 'P 1'
_space_group_IT_number 1
loop_
_space_group_symop_operation_xyz
'x,y,z'
loop_
_atom_site_label
_atom_site_type_symbol
_atom_site_fract_x
_atom_site_fract_y
_atom_site_fract_z
N1 N 0.000 0.000 0.500
Mn1 Mn 0.000 0.000 0.000
Se1 Se 0.000 0.500 0.000
Se2 Se 0.500 0.000 0.000
In1 In 0.500 0.500 0.500
```

***

# MnInSiN2

MnInSiN2 after structural relaxation (GGA-PBE, the Alexandria database).

Output
**Calculated total energy**: -4.480 eV per atom
**Volume**: 88.3 Å³ per cell
**Formation energy from raw total energies**: 2.32 eV per atom
**Theoretical density**: 4.25 Mg/m³

Geometry as CIF:
```
data_MnInSiN2
_cell_length_a 4.025
_cell_length_b 5.450
_cell_length_c 4.025
_cell_angle_alpha 90.00
_cell_angle_beta 90.00
_cell_angle_gamma 90.00
_space_group_name_H-M_alt 'P 1'
_space_group_IT_number 1
loop_
_space_group_symop_operation_xyz
'x,y,z'
loop_
_atom_site_label
_atom_site_type_symbol
_atom_site_fract_x
_atom_site_fract_y
_atom_site_fract_z
N1 N 0.000 0.000 0.500
N2 N 0.500 0.000 0.000
Si1 Si 0.000 0.500 0.000
Mn1 Mn 0.500 0.500 0.500
In1 In 0.000 0.000 0.000
```

***

# Mn2InTcN

Mn2InTcN after structural relaxation (GGA-PBE, the Alexandria database).

Output
**Calculated total energy**: -8.048 eV per atom
**Volume**: 66.1 Å³ per cell
**Formation energy from raw total energies**: -0.09 eV per atom
**Theoretical density**: 8.46 Mg/m³

Geometry as CIF:
```
data_Mn2InTcN
_cell_length_a 4.018
_cell_length_b 4.018
_cell_length_c 4.092
_cell_angle_alpha 90.00
_cell_angle_beta 90.00
_cell_angle_gamma 90.00
_space_group_name_H-M_alt 'P 1'
_space_group_IT_number 1
loop_
_space_group_symop_operation_xyz
'x,y,z'
loop_
_atom_site_label
_atom_site_type_symbol
_atom_site_fract_x
_atom_site_fract_y
_atom_site_fract_z
N1 N 0.000 0.000 0.000
Mn1 Mn 0.000 0.500 0.000
Mn2 Mn 0.500 0.000 0.000
Tc1 Tc 0.000 0.000 0.500
In1 In 0.500 0.500 0.500
```

***

# MnInTeN2

MnInTeN2 after structural relaxation (GGA-PBE, the Alexandria database).

Output
**Calculated total energy**: -4.323 eV per atom
**Volume**: 111.7 Å³ per cell
**Formation energy from raw total energies**: 2.02 eV per atom
**Relative energy among the computed polymorphs**: 6.171 eV/f.u.
**Theoretical density**: 4.84 Mg/m³

Geometry as CIF:
```
data_MnInTeN2
_cell_length_a 4.105
_cell_length_b 4.105
_cell_length_c 6.628
_cell_angle_alpha 90.00
_cell_angle_beta 90.00
_cell_angle_gamma 90.00
_space_group_name_H-M_alt 'P 1'
_space_group_IT_number 1
loop_
_space_group_symop_operation_xyz
'x,y,z'
loop_
_atom_site_label
_atom_site_type_symbol
_atom_site_fract_x
_atom_site_fract_y
_atom_site_fract_z
N1 N 0.000 0.500 0.000
N2 N 0.500 0.000 0.000
Te1 Te 0.000 0.000 0.500
Mn1 Mn 0.500 0.500 0.500
In1 In 0.000 0.000 0.000
```

***

# MnInTeN2

MnInTeN2 after structural relaxation (GGA-PBE, the Alexandria database).

Output
**Calculated total energy**: -5.557 eV per atom
**Volume**: 87.0 Å³ per cell
**Formation energy from raw total energies**: 0.78 eV per atom
**Relative energy among the computed polymorphs**: 0.000 eV/f.u.
**Theoretical density**: 6.21 Mg/m³

Geometry as CIF:
```
data_MnInTeN2
_cell_length_a 3.898
_cell_length_b 3.898
_cell_length_c 5.724
_cell_angle_alpha 90.00
_cell_angle_beta 90.00
_cell_angle_gamma 90.00
_space_group_name_H-M_alt 'P 1'
_space_group_IT_number 1
loop_
_space_group_symop_operation_xyz
'x,y,z'
loop_
_atom_site_label
_atom_site_type_symbol
_atom_site_fract_x
_atom_site_fract_y
_atom_site_fract_z
N1 N 0.000 0.500 0.000
N2 N 0.500 0.000 0.000
Te1 Te 0.000 0.000 0.500
Mn1 Mn 0.000 0.000 0.000
In1 In 0.500 0.500 0.500
```

***

# Na2MnIn

Na2MnIn after structural relaxation (GGA-PBE, the Alexandria database).

Output
**DFT formation energy**: 0.49 eV/atom
**Calculated total energy**: -3.150 eV per atom
**Volume**: 207.6 Å³ per cell
**Theoretical density**: 3.45 Mg/m³

Geometry as CIF:
```
data_Na2MnIn
_cell_length_a 8.583
_cell_length_b 8.583
_cell_length_c 6.692
_cell_angle_alpha 50.11
_cell_angle_beta 50.11
_cell_angle_gamma 90.00
_space_group_name_H-M_alt 'P 1'
_space_group_IT_number 1
loop_
_space_group_symop_operation_xyz
'x,y,z'
loop_
_atom_site_label
_atom_site_type_symbol
_atom_site_fract_x
_atom_site_fract_y
_atom_site_fract_z
Na1 Na 0.617 0.125 0.250
Na2 Na 0.133 0.625 0.250
Na3 Na 0.375 0.383 0.750
Na4 Na 0.875 0.867 0.750
Mn1 Mn 0.500 0.500 0.000
Mn2 Mn 0.250 0.750 0.500
In1 In 0.000 0.000 0.000
In2 In 0.750 0.250 0.500
```

***

# Na3MnIn

Na3MnIn after structural relaxation (GGA-PBE, the Alexandria database).

Output
**DFT formation energy**: 0.73 eV/atom
**Calculated total energy**: -2.448 eV per atom
**Volume**: 184.2 Å³ per cell
**Relative energy among the computed polymorphs**: 0.000 eV/f.u.
**Theoretical density**: 2.15 Mg/m³

Geometry as CIF:
```
data_Na3MnIn
_cell_length_a 5.690
_cell_length_b 5.690
_cell_length_c 5.690
_cell_angle_alpha 90.00
_cell_angle_beta 90.00
_cell_angle_gamma 90.00
_space_group_name_H-M_alt 'P 1'
_space_group_IT_number 1
loop_
_space_group_symop_operation_xyz
'x,y,z'
loop_
_atom_site_label
_atom_site_type_symbol
_atom_site_fract_x
_atom_site_fract_y
_atom_site_fract_z
Na1 Na 0.000 0.500 0.000
Na2 Na 0.000 0.000 0.500
Na3 Na 0.500 0.000 0.000
Mn1 Mn 0.000 0.000 0.000
In1 In 0.500 0.500 0.500
```

***

# Na3MnIn

Na3MnIn after structural relaxation (GGA-PBE, the Alexandria database).

Output
**DFT formation energy**: 0.74 eV/atom
**Calculated total energy**: -2.433 eV per atom
**Volume**: 197.4 Å³ per cell
**Relative energy among the computed polymorphs**: 0.076 eV/f.u.
**Theoretical density**: 2.01 Mg/m³

Geometry as CIF:
```
data_Na3MnIn
_cell_length_a 5.823
_cell_length_b 5.823
_cell_length_c 5.823
_cell_angle_alpha 90.00
_cell_angle_beta 90.00
_cell_angle_gamma 90.00
_space_group_name_H-M_alt 'P 1'
_space_group_IT_number 1
loop_
_space_group_symop_operation_xyz
'x,y,z'
loop_
_atom_site_label
_atom_site_type_symbol
_atom_site_fract_x
_atom_site_fract_y
_atom_site_fract_z
Na1 Na 0.000 0.500 0.000
Na2 Na 0.000 0.000 0.500
Na3 Na 0.500 0.000 0.000
Mn1 Mn 0.500 0.500 0.500
In1 In 0.000 0.000 0.000
```

***

# NaMn2In

NaMn2In after structural relaxation (GGA-PBE, the Alexandria database).

Output
**DFT formation energy**: 0.76 eV/atom
**Calculated total energy**: -4.842 eV per atom
**Volume**: 175.1 Å³ per cell
**Theoretical density**: 4.70 Mg/m³

Geometry as CIF:
```
data_NaMn2In
_cell_length_a 7.806
_cell_length_b 7.806
_cell_length_c 6.223
_cell_angle_alpha 51.16
_cell_angle_beta 51.16
_cell_angle_gamma 90.00
_space_group_name_H-M_alt 'P 1'
_space_group_IT_number 1
loop_
_space_group_symop_operation_xyz
'x,y,z'
loop_
_atom_site_label
_atom_site_type_symbol
_atom_site_fract_x
_atom_site_fract_y
_atom_site_fract_z
Na1 Na 0.500 0.500 0.000
Na2 Na 0.250 0.750 0.500
Mn1 Mn 0.644 0.125 0.250
Mn2 Mn 0.106 0.625 0.250
Mn3 Mn 0.375 0.356 0.750
Mn4 Mn 0.875 0.894 0.750
In1 In 0.000 0.000 0.000
In2 In 0.750 0.250 0.500
```